(1)
A geometry-optimized HoPaSbAu structure, computed with PBE-GGA.

```
HoPaSbAu
1.0
-2.672 -2.104 -3.961
0.621 -5.048 -1.178
-3.847 -3.396 0.959
Sb Pa Au Ho
1 1 1 1
direct
0.500 0.500 0.500
0.250 0.250 0.250
0.000 0.000 0.000
0.750 0.750 0.750
```

- Uncorrected formation energy: -170 kJ/mol of formula units
- Total DFT energy (no corrections): -5.81 eV/atom

(2)
A geometry-optimized PaSnPN4 structure, computed with PBE-GGA.

```
PaSnPN4
1.0
-0.526 1.126 -5.712
0.737 -5.241 -1.101
-6.872 -1.468 2.393
Pa Sn P N
2 2 2 8
direct
0.765 0.750 0.406
0.235 0.250 0.594
0.739 0.750 0.844
0.261 0.250 0.156
0.261 0.750 0.364
0.739 0.250 0.636
0.919 0.492 0.663
0.081 0.992 0.337
0.081 0.508 0.337
0.919 0.008 0.663
0.419 0.750 0.213
0.581 0.250 0.787
0.445 0.750 0.576
0.555 0.250 0.424
```

- Uncorrected formation energy: -428 kJ/mol of formula units
- Total DFT energy (no corrections): -8.09 eV/atom

(3)
A geometry-optimized KTc2Pb structure, computed with PBE-GGA.

```
KTc2Pb
1.0
3.152 0.000 0.000
0.000 3.152 0.000
0.000 0.000 9.230
K Pb Tc
1 1 2
direct
0.000 0.000 0.476
0.500 0.500 0.808
0.000 0.000 0.041
0.500 0.500 0.175
```

- Energy relative to the elements: 433 meV/atom
- Total DFT energy (no corrections): -5.95 eV/atom

no.,total moment (μB/cell),N(E_F) (states/eV/f.u.)
1,2.52,9.2
2,0.00,0.0
3,0.44,2.7